1.
Here is crystalline Sr2ScCr at its relaxed geometry from Alexandria. Energies are from PBE.

Calculated values
- Total moment: 4.6 μB per cell
- SG: Fm-3m (225)
- E: -4.19 eV/atom

abc: 5.7465 5.7465 5.7465
angles: 60.00 60.00 60.00
With the nearest neighbours (Å) after each atom.
Fractional positions:
Sr (0.2500, 0.2500, 0.2500)  4 Cr 3.52, 4 Sc 3.52
Sr (0.7500, 0.7500, 0.7500)  4 Sc 3.52, 4 Cr 3.52
Cr (0.5000, 0.5000, 0.5000)  8 Sr 3.52
Sc (0.0000, 0.0000, 0.0000)  8 Sr 3.52


2.
Here is crystalline Nd3Fe2Ge4 at its relaxed geometry from Alexandria. Energies are from PBE.

Calculated values
- Total moment: 0.9 μB per cell
- SG: C2/m (12)
- E: -6.11 eV/atom

abc: 4.2522 5.9290 8.2243
angles: 106.51 90.00 111.01
With the nearest neighbours (Å) after each atom.
Fractional positions:
Ge (0.2883, 0.5766, 0.9148)  1 Fe 2.39
Ge (0.8898, 0.7795, 0.5997)  3 Fe 2.36-2.42
Ge (0.7117, 0.4234, 0.0852)  1 Fe 2.39
Nd (0.3820, 0.7640, 0.3064)  4 Fe 3.04-3.33, 8 Ge 3.05-3.33
Nd (0.6180, 0.2360, 0.6936)  4 Fe 3.04-3.33, 8 Ge 3.05-3.33
Ge (0.1102, 0.2205, 0.4003)  3 Fe 2.36-2.42
Fe (0.3070, 0.6140, 0.6332)  4 Ge 2.36-2.42
Fe (0.6930, 0.3860, 0.3668)  4 Ge 2.36-2.42
Nd (0.0000, 0.0000, 0.0000)  6 Ge 3.08-3.14


3.
Here is crystalline BeRhI3 at its relaxed geometry from Alexandria. Energies are from PBE.

Calculated values
- Total moment: 2.1 μB per cell
- SG: Pm-3m (221)
- ΔE_f (raw): 0.728 eV per atom

abc: 5.2274 5.2274 5.2274
angles: 90.00 90.00 90.00
With the nearest neighbours (Å) after each atom.
Fractional positions:
Rh (0.5000, 0.5000, 0.5000)  12 I 3.70
I (0.5000, 0.0000, 0.0000)  2 Be 2.61
I (0.0000, 0.5000, 0.0000)  2 Be 2.61
Be (0.0000, 0.0000, 0.0000)  6 I 2.61
I (0.0000, 0.0000, 0.5000)  2 Be 2.61


4.
Here is crystalline GaHgSe2N at its relaxed geometry from Alexandria. Energies are from PBE.

Calculated values
- Total moment: 2.7 μB per cell
- SG: P4/mmm (123)
- ΔE_f (raw): 1.094 eV per atom

abc: 5.5008 5.5008 4.1313
angles: 90.00 90.00 90.00
With the nearest neighbours (Å) after each atom.
Fractional positions:
Se (0.5000, 0.0000, 0.0000)  2 Hg 2.75
Ga (0.5000, 0.5000, 0.5000)  8 Se 3.44
Se (0.0000, 0.5000, 0.0000)  2 Hg 2.75
N (0.0000, 0.0000, 0.5000)  2 Hg 2.07
Hg (0.0000, 0.0000, 0.0000)  2 N 2.07